(1)
SrSc3Hg: optimized geometry, PBE.

Total energy, eV per atom: -3.9732
Calculated formation energy, eV per atom: 0.222
Space-group type: Pm-3m
Distance to the lowest polymorph of the same formula, eV per atom: 0.000
M_tot, μB/f.u.: 0.00
D(E_F), states/eV/f.u.: 11.42

Lattice parameters (Å, degrees): 5.4450 5.4450 5.4450 90.00 90.00 90.00
Fractional positions:
1 Sc 0.0000 0.0000 0.5000
2 Hg 0.0000 0.0000 0.0000
3 Sc 0.5000 0.0000 0.0000
4 Sr 0.5000 0.5000 0.5000
5 Sc 0.0000 0.5000 0.0000

---

(2)
SrSc3Hg: optimized geometry, PBE.

Total energy, eV per atom: -2.9528
Calculated formation energy, eV per atom: 1.243
Space-group type: Pm-3m
Distance to the lowest polymorph of the same formula, eV per atom: 1.020
M_tot, μB/f.u.: 0.00
D(E_F), states/eV/f.u.: 3.88

Lattice parameters (Å, degrees): 5.2736 5.2736 5.2736 90.00 90.00 90.00
Fractional positions:
1 Sc 0.0000 0.5000 0.0000
2 Sr 0.0000 0.0000 0.0000
3 Sc 0.5000 0.0000 0.0000
4 Sc 0.0000 0.0000 0.5000
5 Hg 0.5000 0.5000 0.5000

---

(3)
Sr2Sc2Hg: optimized geometry, PBE.

Total energy, eV per atom: -3.1618
Calculated formation energy, eV per atom: 0.104
Space-group type: P4/mbm
M_tot, μB/f.u.: 1.55
D(E_F), states/eV/f.u.: 5.88

Lattice parameters (Å, degrees): 7.6076 7.6076 5.7851 90.00 90.00 90.00
Last column: magnetic moment on the atom in μB.
Fractional positions:
1 Sr 0.3272 0.1728 0.5000  0.05
2 Sc 0.3537 0.8537 0.0000  0.34
3 Sr 0.6728 0.8272 0.5000  0.05
4 Sc 0.6463 0.1463 0.0000  0.34
5 Sc 0.1463 0.3537 0.0000  0.33
6 Sr 0.1728 0.6728 0.5000  0.06
7 Hg 0.5000 0.5000 0.0000  0.01
8 Sr 0.8272 0.3272 0.5000  0.06
9 Hg 0.0000 0.0000 0.0000  0.01
10 Sc 0.8537 0.6463 0.0000  0.33

---

(4)
Sr4ScHg5: optimized geometry, PBE.

Total energy, eV per atom: -1.9361
Calculated formation energy, eV per atom: -0.479
Space-group type: P4/mmm
M_tot, μB/f.u.: 0.00
D(E_F), states/eV/f.u.: 6.98

Lattice parameters (Å, degrees): 3.8648 3.8648 19.8053 90.00 90.00 90.00
Fractional positions:
1 Hg 0.5000 0.5000 0.7087
2 Hg 0.5000 0.5000 0.0786
3 Sr 0.0000 0.0000 0.8137
4 Sr 0.0000 0.0000 0.3951
5 Hg 0.5000 0.5000 0.9214
6 Hg 0.5000 0.5000 0.2913
7 Hg 0.5000 0.5000 0.5000
8 Sr 0.0000 0.0000 0.6049
9 Sr 0.0000 0.0000 0.1863
10 Sc 0.0000 0.0000 0.0000

---

(5)
SrScHg: optimized geometry, PBE.

Total energy, eV per atom: -3.0765
Calculated formation energy, eV per atom: -0.305
Space-group type: P4/nmm
Distance to the lowest polymorph of the same formula, eV per atom: 0.000
M_tot, μB/f.u.: 0.00
D(E_F), states/eV/f.u.: 4.31

Lattice parameters (Å, degrees): 4.8582 4.8582 7.8414 90.00 90.00 90.00
Fractional positions:
1 Sr 0.0000 0.5000 0.8575
2 Sc 0.0000 0.0000 0.5000
3 Hg 0.5000 0.0000 0.7103
4 Sc 0.5000 0.5000 0.5000
5 Hg 0.0000 0.5000 0.2897
6 Sr 0.5000 0.0000 0.1425

---

(6)
SrSc4Hg: optimized geometry, PBE.

Total energy, eV per atom: -4.2987
Calculated formation energy, eV per atom: 0.253
Space-group type: F-43m
M_tot, μB/f.u.: 0.00
D(E_F), states/eV/f.u.: 9.35

Lattice parameters (Å, degrees): 6.1638 6.1638 6.1638 60.00 60.00 60.00
Fractional positions:
1 Hg 0.0000 0.0000 0.0000
2 Sc 0.8784 0.3739 0.3739
3 Sc 0.3739 0.8784 0.3739
4 Sr 0.7500 0.7500 0.7500
5 Sc 0.3739 0.3739 0.3739
6 Sc 0.3739 0.3739 0.8784

---

(7)
Sr3ScHg4: optimized geometry, PBE.

Total energy, eV per atom: -2.0412
Calculated formation energy, eV per atom: -0.468
Space-group type: P4/mmm
M_tot, μB/f.u.: 0.00
D(E_F), states/eV/f.u.: 6.24

Lattice parameters (Å, degrees): 3.8317 3.8317 15.8009 90.00 90.00 90.00
Fractional positions:
1 Sr 0.5000 0.5000 0.5000
2 Sc 0.5000 0.5000 0.0000
3 Hg 0.0000 0.0000 0.6323
4 Hg 0.0000 0.0000 0.3677
5 Sr 0.5000 0.5000 0.7647
6 Sr 0.5000 0.5000 0.2353
7 Hg 0.0000 0.0000 0.0990
8 Hg 0.0000 0.0000 0.9010

---

(8)
SrSc2Hg3: optimized geometry, PBE.

Total energy, eV per atom: -2.9786
Calculated formation energy, eV per atom: -0.437
Space-group type: P4/mmm
M_tot, μB/f.u.: 0.00
D(E_F), states/eV/f.u.: 3.79

Lattice parameters (Å, degrees): 3.6439 3.6439 11.1454 90.00 90.00 90.00
Fractional positions:
1 Hg 0.0000 0.0000 0.0000
2 Sr 0.5000 0.5000 0.5000
3 Hg 0.0000 0.0000 0.7038
4 Sc 0.5000 0.5000 0.8470
5 Sc 0.5000 0.5000 0.1530
6 Hg 0.0000 0.0000 0.2962

---

(9)
Sr4Sc2Hg: optimized geometry, PBE.

Total energy, eV per atom: -2.4434
Calculated formation energy, eV per atom: 0.370
Space-group type: I4/mmm
M_tot, μB/f.u.: 1.98
D(E_F), states/eV/f.u.: 7.74

Lattice parameters (Å, degrees): 6.3007 6.3007 9.4951 70.62 70.62 90.00
Last column: magnetic moment on the atom in μB.
Fractional positions:
1 Sr 0.0000 0.5000 0.0000  -0.05
2 Sr 0.5000 0.0000 0.0000  -0.05
3 Sc 0.4100 0.4100 0.1800  -0.57
4 Hg 0.0000 0.0000 0.0000  0.01
5 Sc 0.5900 0.5900 0.8200  -0.57
6 Sr 0.1895 0.1895 0.6210  0.00
7 Sr 0.8105 0.8105 0.3790  0.00

---

(10)
SrScHg: optimized geometry, PBE.

Total energy, eV per atom: -2.7894
Calculated formation energy, eV per atom: -0.018
Space-group type: P3m1
Distance to the lowest polymorph of the same formula, eV per atom: 0.287
M_tot, μB/f.u.: 0.00
D(E_F), states/eV/f.u.: 3.78

Lattice parameters (Å, degrees): 3.7693 3.7693 7.6918 90.00 90.00 120.00
Fractional positions:
1 Sc 0.6667 0.3333 0.2851
2 Sr 0.3333 0.6667 0.6902
3 Hg 0.0000 0.0000 0.0247

---

(11)
SrScHg: optimized geometry, PBE.

Total energy, eV per atom: -2.1954
Calculated formation energy, eV per atom: 0.576
Space-group type: F-43m
Distance to the lowest polymorph of the same formula, eV per atom: 0.881
M_tot, μB/f.u.: 0.00
D(E_F), states/eV/f.u.: 5.08

Lattice parameters (Å, degrees): 5.2176 5.2176 5.2176 60.00 60.00 60.00
Fractional positions:
1 Sr 0.7500 0.7500 0.7500
2 Sc 0.5000 0.5000 0.5000
3 Hg 0.0000 0.0000 0.0000

---

(12)
SrScZnHg: optimized geometry, PBE.

Total energy, eV per atom: -2.6235
Calculated formation energy, eV per atom: -0.226
Space-group type: F-43m
M_tot, μB/f.u.: 0.00
D(E_F), states/eV/f.u.: 3.84

Lattice parameters (Å, degrees): 5.2348 5.2348 5.2348 60.00 60.00 60.00
Fractional positions:
1 Zn 0.0000 0.0000 0.0000
2 Hg 0.5000 0.5000 0.5000
3 Sc 0.2500 0.2500 0.2500
4 Sr 0.7500 0.7500 0.7500